SmTlZnSe3 after structural relaxation. Source: OQMD via LeMat-Bulk, functional PBE.

Cell lengths 8.4129, 4.1852, 10.6489 Å; angles 90.00, 108.03, 90.00 degrees
Fractional coordinates of all 12 atoms:
Se 0.7199 0.7500 0.0579
Se 0.5559 0.2500 0.3330
Se 0.0485 0.2500 0.3547
Se 0.9515 0.7500 0.6453
Se 0.4441 0.7500 0.6670
Se 0.2801 0.2500 0.9421
Sm 0.8069 0.7500 0.3615
Sm 0.1931 0.2500 0.6385
Tl 0.2320 0.7500 0.2107
Tl 0.7680 0.2500 0.7893
Zn 0.5759 0.2500 0.1074
Zn 0.4241 0.7500 0.8926

Results
The calculated total energy is -0.3120 Ry per atom. The total magnetization is 0.00 μB per cell.

Y6ErNi2Te2 after structural relaxation. Source: OQMD via LeMat-Bulk, functional PBE.

Cell lengths 9.3980, 9.3980, 9.3980 Å; angles 156.26, 66.94, 118.45 degrees
Fractional coordinates of all 11 atoms:
Er 0.4774 0.4774 0.0000
Ni 0.6438 0.4053 0.2385
Ni 0.1668 0.4053 0.7615
Te 0.1415 0.1415 0.0000
Te 0.7414 0.2414 0.5000
Y 0.0267 0.8954 0.1313
Y 0.4125 0.0968 0.3156
Y 0.0992 0.7454 0.3537
Y 0.3917 0.7454 0.6463
Y 0.7812 0.0968 0.6844
Y 0.7641 0.8954 0.8687

Results
The calculated total energy is -0.4557 Ry per atom. The total magnetization is 0.02 μB per cell.

Y2Ga4CoNi after structural relaxation. Source: OQMD via LeMat-Bulk, functional PBE.

Cell lengths 6.7813, 5.4931, 5.4931 Å; angles 43.21, 90.00, 90.00 degrees
Fractional coordinates of all 8 atoms:
Co 0.0000 0.2149 0.2149
Ga 0.3043 0.3499 0.3499
Ga 0.6957 0.3499 0.3499
Ga 0.1948 0.6500 0.6500
Ga 0.8052 0.6500 0.6500
Ni 0.5000 0.7842 0.7842
Y 0.5000 0.0662 0.0662
Y 0.0000 0.9348 0.9348

Results
The calculated total energy is -0.3907 Ry per atom. The total magnetization is 0.00 μB per cell.

InReTe3 after structural relaxation. Source: OQMD via LeMat-Bulk, functional PBE.

Cell lengths 7.2621, 7.2621, 7.4238 Å; angles 90.00, 90.00, 120.00 degrees
Fractional coordinates of all 10 atoms:
In 0.6667 0.3333 0.5000
In 0.3333 0.6667 0.5000
Re 0.0000 0.0000 0.3497
Re 0.0000 0.0000 0.6503
Te 0.6632 0.0000 0.2436
Te 0.3368 0.3368 0.2436
Te 0.0000 0.6632 0.2436
Te 0.3368 0.0000 0.7564
Te 0.0000 0.3368 0.7564
Te 0.6632 0.6632 0.7564

Results
The calculated total energy is -0.3590 Ry per atom. The total magnetization is 0.00 μB per cell.

LaNdGeI2 after structural relaxation. Source: OQMD via LeMat-Bulk, functional PBE.

Cell lengths 4.4288, 4.4288, 11.1723 Å; angles 90.00, 90.00, 120.00 degrees
Fractional coordinates of all 5 atoms:
Ge 0.0000 0.0000 0.4969
I 0.3333 0.6667 0.1691
I 0.6667 0.3333 0.8358
La 0.3333 0.6667 0.6484
Nd 0.6667 0.3333 0.3498

Results
The calculated total energy is -0.3485 Ry per atom. The total magnetization is 0.00 μB per cell.

La2SmZn2Cu2Si4 after structural relaxation. Source: OQMD via LeMat-Bulk, functional PBE.

Cell lengths 12.6433, 12.6433, 12.6433 Å; angles 161.04, 160.91, 27.03 degrees
Fractional coordinates of all 11 atoms:
Cu 0.5933 0.0933 0.5000
Cu 0.4067 0.9067 0.5000
La 0.8552 0.3552 0.5000
La 0.1448 0.6448 0.5000
Si 0.4518 0.4518 0.0000
Si 0.5482 0.5482 0.0000
Si 0.6896 0.1896 0.5000
Si 0.3104 0.8104 0.5000
Sm 0.0000 0.0000 0.0000
Zn 0.2499 0.2499 0.0000
Zn 0.7501 0.7501 0.0000

Results
The calculated total energy is -0.3533 Ry per atom. The total magnetization is 0.01 μB per cell.

RbLiEr after structural relaxation. Source: OQMD via LeMat-Bulk, functional PBE.

Cell lengths 5.7439, 5.7439, 5.7439 Å; angles 60.00, 60.00, 60.00 degrees
Fractional coordinates of all 3 atoms:
Er 0.2500 0.2500 0.2500
Li 0.7500 0.7500 0.7500
Rb 0.0000 0.0000 0.0000

Results
The calculated total energy is -0.0957 Ry per atom. The total magnetization is 0.02 μB per cell.

Cu2Ag after structural relaxation. Source: OQMD via LeMat-Bulk, functional PBE.

Cell lengths 12.8721, 12.8721, 12.8721 Å; angles 167.63, 164.16, 20.15 degrees
Fractional coordinates of all 9 atoms:
Ag 0.3317 0.3317 0.0000
Ag 0.4484 0.4484 0.0000
Ag 0.6644 0.6644 0.0000
Cu 0.0074 0.0074 0.0000
Cu 0.1058 0.1058 0.0000
Cu 0.2241 0.2241 0.0000
Cu 0.5564 0.5564 0.0000
Cu 0.7717 0.7717 0.0000
Cu 0.8901 0.8901 0.0000

Results
The calculated total energy is -0.2449 Ry per atom.

TmFe2C6 after structural relaxation. Source: OQMD via LeMat-Bulk, functional PBE.

Cell lengths 5.0395, 5.0395, 5.0395 Å; angles 136.78, 108.47, 87.39 degrees
Fractional coordinates of all 9 atoms:
C 0.6270 0.5000 0.1270
C 0.5436 0.3192 0.2244
C 0.9052 0.6808 0.2244
C 0.0948 0.3192 0.7756
C 0.4564 0.6808 0.7756
C 0.3730 0.5000 0.8730
Fe 0.6978 0.1978 0.5000
Fe 0.3022 0.8022 0.5000
Tm 0.0000 0.0000 0.0000

Results
The calculated total energy is -0.5655 Ry per atom. The total magnetization is 0.06 μB per cell.

TbBeFe3 after structural relaxation. Source: OQMD via LeMat-Bulk, functional PBE.

Cell lengths 4.1038, 4.1038, 4.1038 Å; angles 90.00, 90.00, 90.00 degrees
Each line ends with the local moment (μB).
Fractional coordinates of all 5 atoms:
Be 0.0000 0.0000 0.0000  -0.17
Fe 0.5000 0.0000 0.0000  1.48
Fe 0.0000 0.5000 0.0000  2.05
Fe 0.0000 0.0000 0.5000  2.05
Tb 0.5000 0.5000 0.5000  -0.39

Results
The calculated total energy is -0.4708 Ry per atom. The total magnetization is 4.92 μB per cell.

Ac3CdPt8 after structural relaxation. Source: OQMD via LeMat-Bulk, functional PBE.

Cell lengths 9.7018, 9.7018, 9.7018 Å; angles 33.57, 33.57, 33.57 degrees
Fractional coordinates of all 12 atoms:
Ac 0.3774 0.3774 0.3774
Ac 0.5062 0.5062 0.5062
Ac 0.9922 0.9922 0.9922
Cd 0.8686 0.8686 0.8686
Pt 0.1886 0.1886 0.1886
Pt 0.9410 0.4366 0.4366
Pt 0.4366 0.9410 0.4366
Pt 0.9382 0.9382 0.4384
Pt 0.6881 0.6881 0.6881
Pt 0.9382 0.4384 0.9382
Pt 0.4384 0.9382 0.9382
Pt 0.4366 0.4366 0.9410

Results
The calculated total energy is -0.4449 Ry per atom. The total magnetization is 0.00 μB per cell.

NdGdHo after structural relaxation. Source: OQMD via LeMat-Bulk, functional PBE.

Cell lengths 5.4654, 5.4654, 5.4654 Å; angles 60.00, 60.00, 60.00 degrees
Fractional coordinates of all 3 atoms:
Gd 0.5000 0.5000 0.5000
Ho 0.2500 0.2500 0.2500
Nd 0.0000 0.0000 0.0000

Results
The calculated total energy is -0.2910 Ry per atom. The total magnetization is 0.01 μB per cell.